A plane-wave DFT calculation with PBE-GGA was carried out for an optimized crystal structure of GaNi2BPd.

The structure belongs to space group P4/mmm (No. 123); the cell edges are 4.697, 4.697 and 3.890 Å and the angles 90.00°, 90.00° and 90.00°. The distinct sites, in fractional coordinates, are Ga at (0.000, 0.000, 0.000), Ni at (0.000, 0.500, 0.500), B at (0.500, 0.500, 0.000) and Pd at (0.500, 0.500, 0.500).

As for the volume: 85.8 Å³ per cell. The calculation puts the formation energy from the elements at 1031 meV/atom. The calculation puts the size of the total moment at 1.13 μB per formula unit.

A plane-wave DFT calculation with PBE-GGA was carried out for an optimized crystal structure of Pm2GaNi6B.

The structure belongs to space group P-3m1 (No. 164); the cell edges are 5.4144, 5.4144 and 5.7898 Å and the angles 90.00°, 90.00° and 120.00°. The distinct sites, in fractional coordinates, are Pm at (0.3333, 0.6667, 0.3192), Ga at (0.0000, 0.0000, 0.5000), Ni at (0.1812, 0.3623, 0.8244) and B at (0.0000, 0.0000, 0.0000).

As for the volume: 147.0 Å³ per cell. The calculation puts the formation energy from the elements at -409 meV/atom. The calculation puts the size of the total moment at 0.00 μB per formula unit.